Entry from Alexandria: a relaxed KReRuO6 crystal (PBE-GGA).

Structure (POSCAR):
```
KReRuO6
1.0
5.321 0.000 0.000
-2.660 4.608 0.000
0.000 0.000 5.864
K Re Ru O
1 1 1 6
direct
0.000 0.000 0.000
0.333 0.667 0.500
0.667 0.333 0.500
0.011 0.395 0.680
0.011 0.616 0.320
0.384 0.395 0.320
0.384 0.989 0.680
0.605 0.616 0.680
0.605 0.989 0.320
```

- Space group: P312, No. 149
- ΔE_f (raw): -1384.3 meV per atom
- E_tot: -7.23 eV per atom
- Volume: 15.98 A^3/atom